1.
YCd2InH: relaxed, PBE.

Properties
DFT total energy in eV/f.u.: -15.53

abc: 4.662 4.662 4.523
angles: 90.00 90.00 90.00
Sites, in units of the cell vectors:
Y: 0.000 0.000 0.500
H: 0.000 0.000 0.000
Cd: 0.000 0.500 0.000
Cd: 0.500 0.000 0.000
In: 0.500 0.500 0.500


2.
Ce2Ga9Rh3: relaxed, PBE.

Properties
Energy of formation from the pure elements in meV per atom: -698

abc: 7.648 7.648 9.509
angles: 90.00 90.00 119.72
Last column: magnetic moment on the atom in μB.
Sites, in units of the cell vectors:
Ce: 0.999 0.669 0.250  0.43
Ce: 0.001 0.331 0.750  0.43
Ce: 0.669 0.999 0.250  0.43
Ce: 0.331 0.001 0.750  0.43
Ga: 0.128 0.128 0.250  -0.01
Ga: 0.872 0.872 0.750  -0.01
Ga: 0.002 0.335 0.079  0.00
Ga: 0.998 0.665 0.921  0.00
Ga: 0.998 0.665 0.579  0.00
Ga: 0.335 0.002 0.421  0.00
Ga: 0.002 0.335 0.421  0.00
Ga: 0.665 0.998 0.579  0.00
Ga: 0.665 0.998 0.921  0.00
Ga: 0.335 0.002 0.079  0.00
Ga: 0.334 0.334 0.564  0.00
Ga: 0.666 0.666 0.436  0.00
Ga: 0.666 0.666 0.064  0.00
Ga: 0.334 0.334 0.936  0.00
Ga: 0.340 0.545 0.250  -0.01
Ga: 0.660 0.455 0.750  -0.01
Ga: 0.545 0.340 0.250  -0.01
Ga: 0.455 0.660 0.750  -0.01
Rh: 0.671 0.329 0.000  -0.02
Rh: 0.329 0.671 0.000  -0.02
Rh: 0.329 0.671 0.500  -0.02
Rh: 0.671 0.329 0.500  -0.02
Rh: 0.000 0.000 0.000  -0.02
Rh: 0.000 0.000 0.500  -0.02